Here is a relaxed structure of AgRhSe2 from the Alexandria database. Energies are from PBE-GGA.

Fermi-level density of states, states/eV/f.u.: 2.44
VASP energy, eV per atom: -4.485

Lattice parameters (Å, degrees): 24.753 3.659 9.264 90.00 158.56 90.00
Positions (direct):
1 Ag 0.566 0.750 0.768
2 Se 0.755 0.752 0.468
3 Rh 0.834 0.752 0.075
4 Ag 0.934 0.250 0.732
5 Rh 0.166 0.248 0.925
6 Se 0.561 0.752 0.313
7 Ag 0.066 0.750 0.268
8 Se 0.439 0.248 0.687
9 Se 0.245 0.248 0.532
10 Rh 0.334 0.748 0.575
11 Se 0.061 0.748 0.813
12 Rh 0.666 0.252 0.425
13 Se 0.745 0.252 0.032
14 Se 0.939 0.252 0.187
15 Se 0.255 0.748 0.968
16 Ag 0.434 0.250 0.232

---

Here is a relaxed structure of SbAsP2 from the Alexandria database. Energies are from PBE-GGA.

Fermi-level density of states, states/eV/f.u.: 0.19
VASP energy, eV per atom: -4.812

Lattice parameters (Å, degrees): 6.034 6.034 4.473 90.45 90.45 35.89
Positions (direct):
1 P 0.225 0.225 0.074
2 P 0.036 0.036 0.156
3 As 0.735 0.735 0.724
4 Sb 0.504 0.504 0.547